KSiAg | PBE | relaxed

## Properties
For the volume, the calculation gives 85.9 Å³ per cell. For the raw formation energy, the calculation gives 0.215 eV/atom. As for the space group: No. 187. The magnetization comes out at 0.000 μB/atom. The calculated density comes out at 3.38 Mg/m³. The calculation puts the final energy at -2.9091 eV per atom. For the density of states at the Fermi level, the calculation gives 0.9943 states/eV per atom.

a b c (Å): 4.3213 4.3213 5.3139
angles (deg): 90.00 90.00 120.00
Positions (direct):
Ag 0.0000 0.0000 0.8331
K 0.6667 0.3333 0.3333
Si 0.3333 0.6667 0.8336